First-principles (PBE with a Hubbard U) data for CoHgOF2 after structural relaxation, as listed in Alexandria via LeMat-Bulk.

The distance to the lowest polymorph of the same formula is 846 meV/atom. Its density of states at the Fermi level is 0.922 states/eV per atom.

The space group is P4/mmm (No. 123) and the conventional cell measures 4.483, 4.483 and 4.226 Å, with angles of 90.00, 90.00 and 90.00 degrees. The inequivalent atoms are Co at (0.000, 0.000, 0.000), Hg at (0.500, 0.500, 0.500), O at (0.500, 0.500, 0.000) and F at (0.000, 0.500, 0.500).